# 1
The following is a PBE-GGA calculation of a relaxed Lu3Tc5H12 crystal, from Alexandria.

Summary:
DFT total energy: -5.47 eV per atom

Lattice parameters (Å, degrees): 9.7855 9.7855 9.7855 109.47 109.47 109.47
Fractional positions:
Lu  0.1250  0.2500  0.3750
Lu  0.1250  0.3750  0.7500
Lu  0.2500  0.3750  0.1250
Lu  0.2500  0.8750  0.6250
Lu  0.3750  0.1250  0.2500
Lu  0.3750  0.7500  0.1250
Lu  0.6250  0.2500  0.8750
Lu  0.6250  0.8750  0.7500
Lu  0.7500  0.1250  0.3750
Lu  0.7500  0.6250  0.8750
Lu  0.8750  0.6250  0.2500
Lu  0.8750  0.7500  0.6250
Tc  0.0000  0.0000  0.0000
Tc  0.0000  0.0000  0.5000
Tc  0.0000  0.5000  0.0000
Tc  0.0000  0.5000  0.5000
Tc  0.1250  0.7500  0.8750
Tc  0.1250  0.8750  0.2500
Tc  0.2500  0.1250  0.8750
Tc  0.2500  0.6250  0.3750
Tc  0.3750  0.2500  0.6250
Tc  0.3750  0.6250  0.7500
Tc  0.5000  0.0000  0.0000
Tc  0.5000  0.0000  0.5000
Tc  0.5000  0.5000  0.0000
Tc  0.5000  0.5000  0.5000
Tc  0.6250  0.3750  0.2500
Tc  0.6250  0.7500  0.3750
Tc  0.7500  0.3750  0.6250
Tc  0.7500  0.8750  0.1250
Tc  0.8750  0.1250  0.7500
Tc  0.8750  0.2500  0.1250
H  0.0386  0.2089  0.1199
H  0.0386  0.3297  0.9187
H  0.0813  0.6199  0.4110
H  0.0813  0.9614  0.6703
H  0.0890  0.7089  0.6703
H  0.0890  0.8801  0.4187
H  0.1199  0.0386  0.2089
H  0.1199  0.5813  0.9110
H  0.1703  0.2089  0.5890
H  0.1703  0.4614  0.5813
H  0.2089  0.1199  0.0386
H  0.2089  0.5890  0.1703
H  0.2911  0.3297  0.9110
H  0.2911  0.4614  0.3801
H  0.3297  0.9110  0.2911
H  0.3297  0.9187  0.0386
H  0.3801  0.2911  0.4614
H  0.3801  0.5890  0.9187
H  0.4110  0.0813  0.6199
H  0.4110  0.8297  0.7911
H  0.4187  0.0890  0.8801
H  0.4187  0.8297  0.5386
H  0.4614  0.3801  0.2911
H  0.4614  0.5813  0.1703
H  0.5386  0.4187  0.8297
H  0.5386  0.6199  0.7089
H  0.5813  0.1703  0.4614
H  0.5813  0.9110  0.1199
H  0.5890  0.1703  0.2089
H  0.5890  0.9187  0.3801
H  0.6199  0.4110  0.0813
H  0.6199  0.7089  0.5386
H  0.6703  0.0813  0.9614
H  0.6703  0.0890  0.7089
H  0.7089  0.5386  0.6199
H  0.7089  0.6703  0.0890
H  0.7911  0.4110  0.8297
H  0.7911  0.8801  0.9614
H  0.8297  0.5386  0.4187
H  0.8297  0.7911  0.4110
H  0.8801  0.4187  0.0890
H  0.8801  0.9614  0.7911
H  0.9110  0.1199  0.5813
H  0.9110  0.2911  0.3297
H  0.9187  0.0386  0.3297
H  0.9187  0.3801  0.5890
H  0.9614  0.6703  0.0813
H  0.9614  0.7911  0.8801



# 2
The following is a PBE-GGA calculation of a relaxed HfVAgRu2 crystal, from Alexandria.

Summary:
formation energy from the elements: 0.815 eV/atom

Lattice parameters (Å, degrees): 4.4384 4.4384 4.8009 90.00 90.00 90.00
Fractional positions:
Hf  0.0000  0.0000  0.0000
V  0.0000  0.0000  0.5000
Ag  0.5000  0.5000  0.0000
Ru  0.0000  0.5000  0.5000
Ru  0.5000  0.0000  0.5000



# 3
The following is a PBE-GGA calculation of a relaxed NaMgIr4 crystal, from Alexandria.

Summary:
formation energy from the elements: 0.034 eV/atom

Lattice parameters (Å, degrees): 5.2408 5.2408 5.2408 60.00 60.00 60.00
Fractional positions:
Na  0.0000  0.0000  0.0000
Mg  0.7500  0.7500  0.7500
Ir  0.3751  0.3751  0.3751
Ir  0.3751  0.3751  0.8748
Ir  0.3751  0.8748  0.3751
Ir  0.8748  0.3751  0.3751



# 4
The following is a PBE-GGA calculation of a relaxed CaFeTe2 crystal, from Alexandria.

Summary:
DFT total energy: -4.44 eV per atom

Lattice parameters (Å, degrees): 8.7006 8.7006 8.7006 31.44 31.44 31.44
Fractional positions:
Ca  0.0000  0.0000  0.0000
Fe  0.5000  0.5000  0.5000
Te  0.4001  0.4001  0.4001
Te  0.5999  0.5999  0.5999



# 5
The following is a PBE-GGA calculation of a relaxed SbPdS2 crystal, from Alexandria.

Summary:
DFT total energy: -4.38 eV per atom

Lattice parameters (Å, degrees): 7.8769 7.8769 7.8769 28.61 28.61 28.61
Fractional positions:
Sb  0.0000  0.0000  0.0000
Pd  0.5000  0.5000  0.5000
S  0.4005  0.4005  0.4005
S  0.5995  0.5995  0.5995



# 6
The following is a PBE-GGA calculation of a relaxed SbI3F crystal, from Alexandria.

Summary:
relative energy among the computed polymorphs: 0 meV per atom

Lattice parameters (Å, degrees): 8.5193 8.5193 8.5193 80.80 135.01 116.91
Fractional positions:
Sb  0.2364  0.2500  0.4864
Sb  0.7636  0.7500  0.5136
I  0.2255  0.5571  0.1683
I  0.2804  0.0429  0.2648
I  0.2804  0.5156  0.7376
I  0.3888  0.0571  0.8317
I  0.7781  0.0156  0.7352
I  0.7781  0.5429  0.2624
F  0.5964  0.4264  0.6700
F  0.7564  0.9264  0.3300



Repeat the third record exactly.
The following is a PBE-GGA calculation of a relaxed NaMgIr4 crystal, from Alexandria.

Summary:
formation energy from the elements: 0.034 eV/atom

Lattice parameters (Å, degrees): 5.2408 5.2408 5.2408 60.00 60.00 60.00
Fractional positions:
Na  0.0000  0.0000  0.0000
Mg  0.7500  0.7500  0.7500
Ir  0.3751  0.3751  0.3751
Ir  0.3751  0.3751  0.8748
Ir  0.3751  0.8748  0.3751
Ir  0.8748  0.3751  0.3751